VASP calculation (PBE-GGA) on crystalline HoErTl6 at its relaxed geometry.

The space group is P4/mmm (No. 123) and the conventional cell measures 4.755, 4.755 and 9.513 Å, with angles of 90.00, 90.00 and 90.00 degrees. The distinct sites, in fractional coordinates, are Ho at (0.000, 0.000, 0.000), Er at (0.000, 0.000, 0.500), Tl at (0.000, 0.500, 0.250), Tl at (0.500, 0.500, 0.000) and Tl at (0.500, 0.500, 0.500).

Its crystal system is tetragonal. Its density of states at the Fermi level is 1.7 states/eV/cell. For the formation enthalpy at 0 K, the calculation gives -1.67 eV per formula unit.

VASP calculation (PBE-GGA) on crystalline BeNiTe at its relaxed geometry.

The space group is P-1 (No. 2) and the conventional cell measures 3.386, 3.977 and 8.171 Å, with angles of 99.92, 90.07 and 115.16 degrees. The distinct sites, in fractional coordinates, are Be at (0.154, 0.309, 0.036), Ni at (0.472, 0.944, 0.143) and Te at (0.181, 0.362, 0.693).

Its crystal system is triclinic. As for the raw formation energy: -208 meV/atom. Its density of states at the Fermi level is 2.5 states/eV/cell.

VASP calculation (PBE-GGA) on crystalline AlZnAu2 at its relaxed geometry.

The space group is R3m (No. 160, hexagonal axes) and the conventional cell measures 3.7586, 3.7586 and 18.5025 Å, with angles of 90.00, 90.00 and 120.00 degrees. The distinct sites, in fractional coordinates, are Al at (0.0000, 0.0000, 0.0000), Zn at (0.0000, 0.0000, 0.8321), Au at (0.0000, 0.0000, 0.4132) and Au at (0.0000, 0.0000, 0.5858).

Its crystal system is trigonal. Its density of states at the Fermi level is 2.9 states/eV/cell. For the formation enthalpy at 0 K, the calculation gives -0.80 eV per formula unit.

VASP calculation (PBE-GGA) on crystalline MgTl2Cl at its relaxed geometry.

The space group is P4mm (No. 99) and the conventional cell measures 3.354, 3.354 and 9.835 Å, with angles of 90.00, 90.00 and 90.00 degrees. The distinct sites, in fractional coordinates, are Mg at (0.000, 0.000, 0.000), Tl at (0.000, 0.000, 0.500), Tl at (0.500, 0.500, 0.231) and Cl at (0.500, 0.500, 0.859).

Its crystal system is tetragonal. As for the raw formation energy: -503 meV/atom. Its density of states at the Fermi level is 1.4 states/eV/cell. For the energy above the most stable polymorph in this dataset, the calculation gives 25 meV/atom.

VASP calculation (PBE-GGA) on crystalline TlZnS2N at its relaxed geometry.

The space group is P4/mmm (No. 123) and the conventional cell measures 4.999, 4.999 and 3.865 Å, with angles of 90.00, 90.00 and 90.00 degrees. The distinct sites, in fractional coordinates, are Tl at (0.000, 0.000, 0.000), Zn at (0.500, 0.500, 0.500), S at (0.000, 0.500, 0.500) and N at (0.500, 0.500, 0.000).

Its crystal system is tetragonal. As for the raw formation energy: 734 meV/atom. Its density of states at the Fermi level is 3.4 states/eV/cell. For the energy above the most stable polymorph in this dataset, the calculation gives 0 meV/atom.

VASP calculation (PBE-GGA) on crystalline La4NdY4 at its relaxed geometry.

The space group is I4/mmm (No. 139) and the conventional cell measures 10.957, 10.957 and 5.204 Å, with angles of 90.00, 90.00 and 90.00 degrees. The distinct sites, in fractional coordinates, are La at (0.000, 0.333, 0.000), Nd at (0.000, 0.000, 0.000) and Y at (0.165, 0.165, 0.500).

Its crystal system is tetragonal. Its density of states at the Fermi level is 30.2 states/eV/cell. For the formation enthalpy at 0 K, the calculation gives 0.20 eV per formula unit.

VASP calculation (PBE-GGA) on crystalline MgOF3 at its relaxed geometry.

The space group is P2/c (No. 13) and the conventional cell measures 4.561, 5.692 and 10.091 Å, with angles of 90.00, 95.57 and 90.00 degrees. The distinct sites, in fractional coordinates, are Mg at (0.004, 0.249, 0.421), O at (0.130, 0.246, 0.757), F at (0.210, 0.424, 0.947), F at (0.222, 0.071, 0.568) and F at (0.242, 0.254, 0.258).

Its crystal system is monoclinic. As for the raw formation energy: -1970 meV/atom. Its density of states at the Fermi level is 6.9 states/eV/cell. For the energy above the most stable polymorph in this dataset, the calculation gives 0 meV/atom.

VASP calculation (PBE-GGA) on crystalline Tb3Zn3Hg at its relaxed geometry.

The space group is Imm2 (No. 44) and the conventional cell measures 3.625, 4.537 and 19.761 Å, with angles of 90.00, 90.00 and 90.00 degrees. The distinct sites, in fractional coordinates, are Tb at (0.000, 0.000, 0.000), Tb at (0.000, 0.000, 0.391), Tb at (0.000, 0.500, 0.188), Zn at (0.000, 0.000, 0.553), Zn at (0.000, 0.000, 0.840), Zn at (0.000, 0.500, 0.623) and Hg at (0.000, 0.500, 0.759).

Its crystal system is orthorhombic. Its density of states at the Fermi level is 15.1 states/eV/cell. For the formation enthalpy at 0 K, the calculation gives -2.29 eV per formula unit.

VASP calculation (PBE-GGA) on crystalline Cr2AgOs at its relaxed geometry.

The space group is F-43m (No. 216) and the conventional cell measures 6.145, 6.145 and 6.145 Å, with angles of 90.00, 90.00 and 90.00 degrees. The distinct sites, in fractional coordinates, are Cr at (0.000, 0.000, 0.000), Cr at (0.250, 0.250, 0.250), Ag at (0.000, 0.000, 0.500) and Os at (0.250, 0.250, 0.750).

Its crystal system is cubic. Its density of states at the Fermi level is 15.8 states/eV/cell. For the formation enthalpy at 0 K, the calculation gives 2.49 eV per formula unit.

VASP calculation (PBE-GGA) on crystalline KBa2Ga2 at its relaxed geometry.

The space group is I4/mmm (No. 139) and the conventional cell measures 4.052, 4.052 and 26.710 Å, with angles of 90.00, 90.00 and 90.00 degrees. The distinct sites, in fractional coordinates, are K at (0.000, 0.000, 0.000), Ba at (0.000, 0.000, 0.357) and Ga at (0.000, 0.500, 0.250).

Its crystal system is tetragonal. Its density of states at the Fermi level is 13.6 states/eV/cell. For the energy above the most stable polymorph in this dataset, the calculation gives 148 meV/atom. For the formation enthalpy at 0 K, the calculation gives -0.08 eV per formula unit.

VASP calculation (PBE-GGA) on crystalline LaNdSn at its relaxed geometry.

The space group is C2/m (No. 12) and the conventional cell measures 7.632, 5.713 and 9.543 Å, with angles of 90.00, 110.49 and 90.00 degrees. The distinct sites, in fractional coordinates, are La at (0.194, 0.000, 0.405), Nd at (0.194, 0.000, 0.902) and Sn at (0.003, 0.500, 0.754).

Its crystal system is monoclinic. Its density of states at the Fermi level is 8.9 states/eV/cell. For the energy above the most stable polymorph in this dataset, the calculation gives 161 meV/atom. For the formation enthalpy at 0 K, the calculation gives -1.36 eV per formula unit.

VASP calculation (PBE-GGA) on crystalline DyBiAu2 at its relaxed geometry.

The space group is P4/mmm (No. 123) and the conventional cell measures 3.610, 3.610 and 7.316 Å, with angles of 90.00, 90.00 and 90.00 degrees. The distinct sites, in fractional coordinates, are Dy at (0.000, 0.000, 0.000), Bi at (0.000, 0.000, 0.500) and Au at (0.500, 0.500, 0.227).

Its crystal system is tetragonal. Its density of states at the Fermi level is 2.0 states/eV/cell. For the formation enthalpy at 0 K, the calculation gives -2.27 eV per formula unit.